HOs2Br, relaxed, DFT PBE-GGA; total magnetic moment = 0.000 μB/atom; total energy = -46.7 eV per cell
1.0
-2.458 2.458 4.579
2.458 -2.458 4.579
2.458 2.458 -4.579
H Os Br
2 4 2
Direct
0.000 0.000 0.000 H
0.750 0.250 0.500 H
0.375 0.248 0.373 Os
0.752 0.125 0.127 Os
0.875 0.002 0.627 Os
0.998 0.625 0.873 Os
0.250 0.750 0.500 Br
0.500 0.500 0.000 Br